No. 1
# LaTcN3

A relaxed LaTcN3 crystal (PBE, Alexandria via LeMat-Bulk).

CIF file:
```
data_LaTcN3
_chemical_formula_sum 'La2 Tc2 N6'
_cell_length_a 4.0090
_cell_length_b 5.8872
_cell_length_c 6.4625
_cell_angle_alpha 103.68
_cell_angle_beta 102.11
_cell_angle_gamma 106.90
_symmetry_space_group_name_H-M 'P 1'
_symmetry_Int_Tables_number 1
_symmetry_space_group_name_Hall 'P 1'
loop_
_atom_site_label
_atom_site_fract_x
_atom_site_fract_y
_atom_site_fract_z
_atom_site_occupancy
La1 0.0000 0.0000 0.0000 1
La2 0.4893 0.3771 0.6575 1
Tc1 0.6083 0.8974 0.4163 1
Tc2 0.8646 0.5240 0.2822 1
N1 0.0526 0.6711 0.6181 1
N2 0.1567 0.6078 0.0749 1
N3 0.3799 0.8270 0.6885 1
N4 0.4935 0.6307 0.0786 1
N5 0.6662 0.1718 0.2741 1
N6 0.9213 0.1480 0.6832 1
```

- ρ (Mg/m³) = 6.85
- E (eV/atom) = -8.438
- total magnetization (Bohr magnetons per cell) = 0.00

No. 2
# LaTcN3

A relaxed LaTcN3 crystal (PBE, Alexandria via LeMat-Bulk).

CIF file:
```
data_LaTcN3
_chemical_formula_sum 'La4 Tc4 N12'
_cell_length_a 3.4895
_cell_length_b 3.4895
_cell_length_c 22.9298
_cell_angle_alpha 90.00
_cell_angle_beta 90.00
_cell_angle_gamma 90.00
_symmetry_space_group_name_H-M 'I -4 m 2'
_symmetry_Int_Tables_number 119
_symmetry_space_group_name_Hall 'I -4 -2'
loop_
_atom_site_label
_atom_site_fract_x
_atom_site_fract_y
_atom_site_fract_z
_atom_site_occupancy
La1 0.0000 0.0000 0.0000 1
La2 0.0000 0.5000 0.2500 1
Tc1 0.0000 0.5000 0.6313 1
N1 0.0000 0.0000 0.3209 1
N2 0.0000 0.3157 0.1008 1
```

- ρ (Mg/m³) = 6.64
- E (eV/atom) = -8.078
- total magnetization (Bohr magnetons per cell) = 0.11

No. 3
# LaTc3N

A relaxed LaTc3N crystal (PBE, Alexandria via LeMat-Bulk).

CIF file:
```
data_LaTc3N
_chemical_formula_sum 'La1 Tc3 N1'
_cell_length_a 4.7799
_cell_length_b 4.7799
_cell_length_c 4.7799
_cell_angle_alpha 90.00
_cell_angle_beta 90.00
_cell_angle_gamma 90.00
_symmetry_space_group_name_H-M 'P m -3 m'
_symmetry_Int_Tables_number 221
_symmetry_space_group_name_Hall '-P 4 2 3'
loop_
_atom_site_label
_atom_site_fract_x
_atom_site_fract_y
_atom_site_fract_z
_atom_site_occupancy
La1 0.0000 0.0000 0.0000 1
Tc1 0.0000 0.0000 0.5000 1
N1 0.5000 0.5000 0.5000 1
```

- energy relative to the lowest polymorph listed for this composition (meV/atom) = 3107
- ρ (Mg/m³) = 6.80
- E (eV/atom) = -5.600
- total magnetization (Bohr magnetons per cell) = 1.27

No. 4
# LaTcN3

A relaxed LaTcN3 crystal (PBE, Alexandria via LeMat-Bulk).

CIF file:
```
data_LaTcN3
_chemical_formula_sum 'La2 Tc2 N6'
_cell_length_a 3.7612
_cell_length_b 3.7612
_cell_length_c 11.8253
_cell_angle_alpha 90.00
_cell_angle_beta 90.00
_cell_angle_gamma 120.00
_symmetry_space_group_name_H-M 'P 63/m m c'
_symmetry_Int_Tables_number 194
_symmetry_space_group_name_Hall '-P 6c 2c'
loop_
_atom_site_label
_atom_site_fract_x
_atom_site_fract_y
_atom_site_fract_z
_atom_site_occupancy
La1 0.0000 0.0000 0.0000 1
Tc1 0.3333 0.6667 0.2500 1
N1 0.0000 0.0000 0.2500 1
N2 0.3333 0.6667 0.0929 1
```

- ρ (Mg/m³) = 6.39
- E (eV/atom) = -8.296
- total magnetization (Bohr magnetons per cell) = 0.00

No. 5
# La2TcN4

A relaxed La2TcN4 crystal (PBE, Alexandria via LeMat-Bulk).

CIF file:
```
data_La2TcN4
_chemical_formula_sum 'La4 Tc2 N8'
_cell_length_a 6.0486
_cell_length_b 5.8206
_cell_length_c 7.0438
_cell_angle_alpha 90.00
_cell_angle_beta 108.90
_cell_angle_gamma 90.00
_symmetry_space_group_name_H-M 'P 1 21/m 1'
_symmetry_Int_Tables_number 11
_symmetry_space_group_name_Hall '-P 2yb'
loop_
_atom_site_label
_atom_site_fract_x
_atom_site_fract_y
_atom_site_fract_z
_atom_site_occupancy
La1 0.1976 0.2500 0.0405 1
La2 0.2780 0.2500 0.5669 1
Tc1 0.2586 0.7500 0.8051 1
N1 0.0491 0.5056 0.7487 1
N2 0.4266 0.7500 0.0732 1
N3 0.4470 0.7500 0.6435 1
```

- energy relative to the lowest polymorph listed for this composition (meV/atom) = 2
- ρ (Mg/m³) = 6.11
- E (eV/atom) = -8.486
- total magnetization (Bohr magnetons per cell) = 0.00

No. 6
# LaTcN3

A relaxed LaTcN3 crystal (PBE, Alexandria via LeMat-Bulk).

CIF file:
```
data_LaTcN3
_chemical_formula_sum 'La2 Tc2 N6'
_cell_length_a 5.5795
_cell_length_b 4.2847
_cell_length_c 5.8008
_cell_angle_alpha 90.00
_cell_angle_beta 90.00
_cell_angle_gamma 90.00
_symmetry_space_group_name_H-M 'P m m a'
_symmetry_Int_Tables_number 51
_symmetry_space_group_name_Hall '-P 2a 2a'
loop_
_atom_site_label
_atom_site_fract_x
_atom_site_fract_y
_atom_site_fract_z
_atom_site_occupancy
La1 0.2500 0.0000 0.2344 1
Tc1 0.2500 0.5000 0.7815 1
N1 0.0000 0.3452 0.5000 1
N2 0.0000 0.5000 0.0000 1
```

- ρ (Mg/m³) = 6.68
- E (eV/atom) = -8.476
- total magnetization (Bohr magnetons per cell) = 0.00

No. 7
# La2TcN4

A relaxed La2TcN4 crystal (PBE, Alexandria via LeMat-Bulk).

CIF file:
```
data_La2TcN4
_chemical_formula_sum 'La4 Tc2 N8'
_cell_length_a 3.9165
_cell_length_b 3.9165
_cell_length_c 12.8704
_cell_angle_alpha 90.00
_cell_angle_beta 90.00
_cell_angle_gamma 90.00
_symmetry_space_group_name_H-M 'I 4/m m m'
_symmetry_Int_Tables_number 139
_symmetry_space_group_name_Hall '-I 4 2'
loop_
_atom_site_label
_atom_site_fract_x
_atom_site_fract_y
_atom_site_fract_z
_atom_site_occupancy
La1 0.0000 0.0000 0.1462 1
Tc1 0.0000 0.0000 0.5000 1
N1 0.0000 0.0000 0.3333 1
N2 0.0000 0.5000 0.0000 1
```

- energy relative to the lowest polymorph listed for this composition (meV/atom) = 0
- ρ (Mg/m³) = 7.26
- E (eV/atom) = -8.488
- total magnetization (Bohr magnetons per cell) = 0.00

No. 8
# LaTcN3

A relaxed LaTcN3 crystal (PBE, Alexandria via LeMat-Bulk).

CIF file:
```
data_LaTcN3
_chemical_formula_sum 'La2 Tc2 N6'
_cell_length_a 4.0839
_cell_length_b 6.8558
_cell_length_c 7.0406
_cell_angle_alpha 118.20
_cell_angle_beta 90.75
_cell_angle_gamma 90.74
_symmetry_space_group_name_H-M 'P 1'
_symmetry_Int_Tables_number 1
_symmetry_space_group_name_Hall 'P 1'
loop_
_atom_site_label
_atom_site_fract_x
_atom_site_fract_y
_atom_site_fract_z
_atom_site_occupancy
La1 0.0000 0.0000 0.0000 1
La2 0.4937 0.9746 0.4458 1
Tc1 0.0260 0.4630 0.5576 1
Tc2 0.5069 0.5624 0.7922 1
N1 0.0007 0.1578 0.3994 1
N2 0.4613 0.3519 0.8759 1
N3 0.4684 0.1999 0.9178 1
N4 0.4894 0.8345 0.0660 1
N5 0.7281 0.7394 0.6350 1
N6 0.9801 0.7176 0.5048 1
```

- ρ (Mg/m³) = 5.33
- E (eV/atom) = -8.498
- total magnetization (Bohr magnetons per cell) = 0.00

total magnetization of number 3 (LaTc3N)?
1.27 Bohr magnetons per cell

The lowest E belongs to which entry?
number 8

Please write out number 3 again, unchanged.
# LaTc3N

A relaxed LaTc3N crystal (PBE, Alexandria via LeMat-Bulk).

CIF file:
```
data_LaTc3N
_chemical_formula_sum 'La1 Tc3 N1'
_cell_length_a 4.7799
_cell_length_b 4.7799
_cell_length_c 4.7799
_cell_angle_alpha 90.00
_cell_angle_beta 90.00
_cell_angle_gamma 90.00
_symmetry_space_group_name_H-M 'P m -3 m'
_symmetry_Int_Tables_number 221
_symmetry_space_group_name_Hall '-P 4 2 3'
loop_
_atom_site_label
_atom_site_fract_x
_atom_site_fract_y
_atom_site_fract_z
_atom_site_occupancy
La1 0.0000 0.0000 0.0000 1
Tc1 0.0000 0.0000 0.5000 1
N1 0.5000 0.5000 0.5000 1
```

- energy relative to the lowest polymorph listed for this composition (meV/atom) = 3107
- ρ (Mg/m³) = 6.80
- E (eV/atom) = -5.600
- total magnetization (Bohr magnetons per cell) = 1.27